VASP calculation (PBE) on crystalline ScPaSi2O8 at its relaxed geometry.

abc: 5.718 5.718 5.718
angles: 106.85 106.85 114.86
Element x y z (fractional)
O  0.756  0.075  0.681
O  0.925  0.606  0.681
O  0.858  0.673  0.185
O  0.327  0.511  0.185
O  0.327  0.142  0.815
O  0.925  0.244  0.319
O  0.394  0.075  0.319
O  0.489  0.673  0.815
Si  0.500  0.500  0.000
Si  0.750  0.250  0.500
Sc  0.250  0.750  0.500
Pa  0.000  0.000  0.000

Values from the calculation:
As for the final energy: -104.4 eV for the cell shown. As for the crystal system: tetragonal. As for the space-group type: No. 119. For the energy relative to the elements, uncorrected, the calculation gives -3.17 eV per atom. The calculated volume comes out at 11.91 Å³/atom. As for the total magnetic moment: 0.00 μB per cell.

=====

VASP calculation (PBE) on crystalline BaNdSnAu at its relaxed geometry.

abc: 5.630 5.630 5.630
angles: 60.00 60.00 60.00
Element x y z (fractional)
Ba  0.500  0.500  0.500
Sn  0.250  0.250  0.250
Au  0.750  0.750  0.750
Nd  0.000  0.000  0.000

Values from the calculation:
As for the final energy: -16.4 eV for the cell shown. The calculation puts the energy of formation from the pure elements at -0.6026 eV per atom. As for the crystal system: cubic. As for the space-group type: No. 216. The calculated volume comes out at 31.55 Å³/atom. As for the total magnetic moment: 0.00 μB per cell.

=====

VASP calculation (PBE) on crystalline Pm6Pr3Pu at its relaxed geometry.

abc: 10.012 10.012 7.022
angles: 44.53 44.53 60.00
Last column: magnetic moment on the atom in μB.
Element x y z (fractional)
Pm  0.399  0.728  0.802  0.03
Pm  0.584  0.215  0.301  0.04
Pm  0.071  0.399  0.802  0.03
Pm  0.215  0.899  0.301  0.04
Pm  0.728  0.071  0.802  0.03
Pm  0.899  0.584  0.301  0.04
Pr  0.660  0.660  0.020  0.11
Pr  0.142  0.142  0.575  0.12
Pr  0.401  0.401  0.798  0.04
Pu  0.901  0.901  0.297  5.66

Values from the calculation:
As for the final energy: -54.8 eV for the cell shown. The calculation puts the energy of formation from the pure elements at 0.2387 eV per atom. As for the crystal system: trigonal. As for the space-group type: No. 146. The calculated volume comes out at 34.61 Å³/atom. As for the total magnetic moment: 6.73 μB per cell.

=====

VASP calculation (PBE) on crystalline CdCu2SiC at its relaxed geometry.

abc: 4.841 4.006 4.841
angles: 90.00 90.00 90.00
Element x y z (fractional)
Cd  0.000  0.000  0.000
Si  0.500  0.500  0.500
C  0.000  0.500  0.000
Cu  0.500  0.000  0.000
Cu  0.000  0.000  0.500

Values from the calculation:
As for the final energy: -14.6 eV for the cell shown. As for the crystal system: tetragonal. As for the space-group type: No. 123. For the energy relative to the elements, uncorrected, the calculation gives 1.84 eV per atom. The calculated volume comes out at 18.77 Å³/atom. As for the total magnetic moment: 0.00 μB per cell.

=====

VASP calculation (PBE) on crystalline Ta2Sn3 at its relaxed geometry.

abc: 9.201 8.231 5.783
angles: 80.00 61.76 38.24
Element x y z (fractional)
Sn  0.901  0.599  0.901
Sn  0.599  0.901  0.599
Sn  0.909  0.909  0.091
Sn  0.357  0.357  0.143
Sn  0.143  0.143  0.357
Sn  0.091  0.091  0.909
Ta  0.411  0.411  0.589
Ta  0.589  0.589  0.411
Ta  0.564  0.564  0.936
Ta  0.936  0.936  0.564

Values from the calculation:
As for the final energy: -68.2 eV for the cell shown. The calculation puts the energy of formation from the pure elements at 0.3202 eV per atom. As for the crystal system: orthorhombic. As for the space-group type: No. 22. The calculated volume comes out at 22.26 Å³/atom. As for the total magnetic moment: 0.00 μB per cell.

=====

VASP calculation (PBE) on crystalline GdDyIn2 at its relaxed geometry.

abc: 5.338 5.338 5.338
angles: 60.00 60.00 60.00
Last column: magnetic moment on the atom in μB.
Element x y z (fractional)
Gd  0.000  0.000  0.000  7.08
In  0.250  0.250  0.250  -0.03
In  0.750  0.750  0.750  -0.03
Dy  0.500  0.500  0.500  0.04

Values from the calculation:
As for the distance to the lowest polymorph of the same formula: 10 meV/atom. As for the final energy: -26.1 eV for the cell shown. The calculation puts the energy of formation from the pure elements at -0.4762 eV per atom. As for the crystal system: cubic. As for the space-group type: No. 225. The calculated volume comes out at 26.89 Å³/atom. As for the total magnetic moment: 7.22 μB per cell.

=====

VASP calculation (PBE) on crystalline MnAl2Au at its relaxed geometry.

abc: 2.892 2.892 8.634
angles: 80.36 80.36 60.00
Last column: magnetic moment on the atom in μB.
Element x y z (fractional)
Mn  0.666  0.666  0.002  2.54
Al  0.256  0.256  0.233  -0.04
Al  0.077  0.077  0.768  -0.04
Au  0.501  0.501  0.497  -0.02

Values from the calculation:
As for the final energy: -20.6 eV for the cell shown. The calculation puts the energy of formation from the pure elements at -0.1633 eV per atom. As for the crystal system: trigonal. As for the space-group type: No. 160. The calculated volume comes out at 15.34 Å³/atom. As for the total magnetic moment: 2.39 μB per cell.

=====

VASP calculation (PBE) on crystalline KGa2CuPt at its relaxed geometry.

abc: 4.808 4.808 5.142
angles: 90.00 90.00 90.00
Element x y z (fractional)
Cu  0.000  0.000  0.500
Pt  0.000  0.000  0.000
Ga  0.000  0.500  0.000
Ga  0.500  0.000  0.000
K  0.500  0.500  0.500

Values from the calculation:
As for the final energy: -18.2 eV for the cell shown. The calculation puts the energy of formation from the pure elements at -0.1860 eV per atom. As for the crystal system: tetragonal. As for the space-group type: No. 123. The calculated volume comes out at 23.78 Å³/atom. As for the total magnetic moment: 0.00 μB per cell.

=====

VASP calculation (PBE) on crystalline Ba5Tl2Br at its relaxed geometry.

abc: 10.524 9.160 15.398
angles: 90.00 90.00 90.00
Element x y z (fractional)
Ba  0.999  0.750  0.503
Ba  0.180  0.250  0.814
Ba  0.687  0.000  0.399
Ba  0.823  0.250  0.186
Ba  0.813  0.500  0.899
Ba  0.320  0.250  0.314
Ba  0.177  0.750  0.814
Ba  0.313  0.000  0.601
Ba  0.187  0.000  0.101
Ba  0.820  0.750  0.186
Ba  0.001  0.250  0.497
Ba  0.677  0.250  0.686
Ba  0.680  0.750  0.686
Ba  0.323  0.750  0.314
Ba  0.501  0.750  0.003
Ba  0.313  0.500  0.601
Ba  0.687  0.500  0.399
Ba  0.499  0.250  0.997
Ba  0.187  0.500  0.101
Ba  0.813  0.000  0.899
Br  0.001  0.250  0.000
Br  0.499  0.250  0.500
Br  0.999  0.750  0.000
Br  0.501  0.750  0.500
Tl  0.534  0.493  0.186
Tl  0.034  0.993  0.314
Tl  0.966  0.007  0.686
Tl  0.534  0.007  0.186
Tl  0.466  0.507  0.814
Tl  0.034  0.507  0.314
Tl  0.966  0.493  0.686
Tl  0.466  0.993  0.814

Values from the calculation:
As for the final energy: -83.0 eV for the cell shown. As for the crystal system: orthorhombic. As for the space-group type: No. 62. For the energy relative to the elements, uncorrected, the calculation gives -0.59 eV per atom. The calculated volume comes out at 46.39 Å³/atom. As for the total magnetic moment: 0.00 μB per cell.

=====

VASP calculation (PBE) on crystalline Ba2MgAlTe5 at its relaxed geometry.

abc: 4.462 10.625 13.810
angles: 90.00 90.00 102.12
Element x y z (fractional)
Ba  0.879  0.757  0.811
Ba  0.877  0.753  0.189
Ba  0.123  0.247  0.689
Ba  0.121  0.243  0.311
Al  0.573  0.146  0.936
Al  0.427  0.854  0.436
Te  0.493  0.987  0.276
Te  0.507  0.013  0.776
Te  0.295  0.590  0.662
Te  0.354  0.707  0.002
Te  0.695  0.390  0.877
Te  0.646  0.293  0.502
Te  0.054  0.108  0.045
Te  0.705  0.410  0.162
Te  0.946  0.892  0.545
Te  0.305  0.610  0.377
Mg  0.783  0.565  0.525
Mg  0.217  0.435  0.025

Values from the calculation:
As for the final energy: -68.6 eV for the cell shown. As for the crystal system: orthorhombic. As for the space-group type: No. 36. For the energy relative to the elements, uncorrected, the calculation gives -1.04 eV per atom. The calculated volume comes out at 35.57 Å³/atom. As for the total magnetic moment: 0.00 μB per cell.

=====

VASP calculation (PBE) on crystalline LaAl2Pt2 at its relaxed geometry.

abc: 4.204 4.204 6.375
angles: 70.75 70.75 90.00
Element x y z (fractional)
Pt  0.377  0.377  0.246
Pt  0.623  0.623  0.754
Al  0.750  0.250  0.500
Al  0.250  0.750  0.500
La  0.000  0.000  0.000

Values from the calculation:
As for the final energy: -30.2 eV for the cell shown. The calculation puts the energy of formation from the pure elements at -1.1373 eV per atom. As for the crystal system: tetragonal. As for the space-group type: No. 139. The calculated volume comes out at 19.93 Å³/atom. As for the total magnetic moment: 0.00 μB per cell.

=====

VASP calculation (PBE) on crystalline La3TlRu at its relaxed geometry.

abc: 4.751 4.751 8.464
angles: 90.00 90.00 90.00
Element x y z (fractional)
Tl  0.000  0.000  0.321
La  0.000  0.500  0.607
La  0.500  0.000  0.607
La  0.000  0.000  0.940
Ru  0.500  0.500  0.789

Values from the calculation:
As for the distance to the lowest polymorph of the same formula: 594 meV/atom. As for the final energy: -25.4 eV for the cell shown. The calculation puts the energy of formation from the pure elements at 0.2047 eV per atom. As for the crystal system: tetragonal. As for the space-group type: No. 99. The calculated volume comes out at 38.21 Å³/atom. As for the total magnetic moment: 0.00 μB per cell.